1.
Compound: SrYW
Source: Alexandria
Functional: GGA-PBE
Structure: optimized geometry

The space group is P3m1 (No. 156) and the conventional cell measures 3.4294, 3.4294 and 8.3351 Å, with angles of 90.00, 90.00 and 120.00 degrees. Symmetry generates all atoms from Sr at (0.0000, 0.0000, 0.0000), Y at (0.3333, 0.6667, 0.5703) and W at (0.6667, 0.3333, 0.3085).

The energy relative to the lowest polymorph listed for this composition comes out at 16.7 kJ per mole of atoms.

---

2.
Compound: Sr2YW
Source: Alexandria
Functional: GGA-PBE
Structure: optimized geometry

The space group is C2/m (No. 12) and the conventional cell measures 6.6039, 11.8575 and 3.2883 Å, with angles of 90.00, 113.07 and 90.00 degrees. Symmetry generates all atoms from Sr at (0.2500, 0.2500, 0.0000), Y at (0.0000, 0.0000, 0.5000) and W at (0.0000, 0.5000, 0.5000).

The energy relative to the lowest polymorph listed for this composition comes out at 40.7 kJ per mole of atoms.

---

3.
Compound: SrYW2
Source: Alexandria
Functional: GGA-PBE
Structure: optimized geometry

The space group is P2/m (No. 10) and the conventional cell measures 2.9746, 5.0407 and 6.8090 Å, with angles of 90.00, 99.42 and 90.00 degrees. Symmetry generates all atoms from Sr at (0.0000, 0.0000, 0.0000), Y at (0.0000, 0.0000, 0.5000) and W at (0.4675, 0.5000, 0.6760).

The energy relative to the lowest polymorph listed for this composition comes out at 40.9 kJ per mole of atoms.

---

4.
Compound: SrYW4
Source: Alexandria
Functional: GGA-PBE
Structure: optimized geometry

The space group is F-43m (No. 216) and the conventional cell measures 7.9244, 7.9244 and 7.9244 Å, with angles of 90.00, 90.00 and 90.00 degrees. Symmetry generates all atoms from Sr at (0.0000, 0.0000, 0.0000), Y at (0.2500, 0.2500, 0.2500) and W at (0.1253, 0.1253, 0.6253).

The calculation puts the total DFT energy (no corrections) at -9.442 eV/atom.

---

5.
Compound: Sr2YW
Source: Alexandria
Functional: GGA-PBE
Structure: optimized geometry

The space group is Cmmm (No. 65) and the conventional cell measures 6.5604, 11.0073 and 3.3086 Å, with angles of 90.00, 90.00 and 90.00 degrees. Symmetry generates all atoms from Sr at (0.2500, 0.2500, 0.0000), Y at (0.0000, 0.0000, 0.5000) and W at (0.0000, 0.5000, 0.5000).

The energy relative to the lowest polymorph listed for this composition comes out at 39.8 kJ per mole of atoms.

---

6.
Compound: SrYW2
Source: Alexandria
Functional: GGA-PBE
Structure: optimized geometry

The space group is Cmmm (No. 65) and the conventional cell measures 5.8071, 10.4220 and 2.8868 Å, with angles of 90.00, 90.00 and 90.00 degrees. Symmetry generates all atoms from Sr at (0.0000, 0.0000, 0.0000), Y at (0.0000, 0.5000, 0.0000) and W at (0.2500, 0.2500, 0.5000).

The energy relative to the lowest polymorph listed for this composition comes out at 57.7 kJ per mole of atoms.